A plane-wave DFT calculation with GGA-PBE was carried out for a geometry-optimized Nd4Tl2Pd structure.

Computed properties:
DFT formation energy = -2.16 eV/f.u.
SG = No. 12

Geometry as POSCAR:
```
Nd4Tl2Pd
1.0
3.914 0.000 0.000
0.000 6.725 -0.166
-1.957 -3.402 8.460
Tl Pd Nd
2 1 4
direct
0.743 0.794 0.487 Tl
0.257 0.206 0.513 Tl
0.000 0.000 0.000 Pd
0.089 0.737 0.178 Nd
0.619 0.278 0.238 Nd
0.381 0.722 0.762 Nd
0.911 0.263 0.822 Nd
```

=====

A plane-wave DFT calculation with GGA-PBE was carried out for a geometry-optimized SrTa2Au structure.

Computed properties:
DFT formation energy = 2.70 eV/f.u.
SG = No. 123
polymorph energy (0 for the lowest one) = 456 meV per atom

Geometry as POSCAR:
```
SrTa2Au
1.0
5.247 0.000 0.000
0.000 4.104 0.000
0.000 0.000 4.104
Sr Ta Au
1 2 1
direct
0.500 0.000 0.500 Sr
0.000 0.500 0.500 Ta
0.000 0.000 0.000 Ta
0.500 0.500 0.000 Au
```

=====

A plane-wave DFT calculation with GGA-PBE was carried out for a geometry-optimized TbPm4HoEr2 structure.

Computed properties:
DFT formation energy = 0.13 eV/f.u.
SG = No. 10

Geometry as POSCAR:
```
TbPm4HoEr2
1.0
3.597 0.000 0.000
0.000 6.217 -0.008
0.000 2.109 11.634
Er Pm Tb Ho
2 4 1 1
direct
0.000 0.000 0.000 Er
0.500 0.000 0.500 Er
0.000 0.750 0.749 Pm
0.500 0.751 0.250 Pm
0.500 0.249 0.750 Pm
0.000 0.250 0.251 Pm
0.500 0.500 0.000 Tb
0.000 0.500 0.500 Ho
```

=====

A plane-wave DFT calculation with GGA-PBE was carried out for a geometry-optimized TmNpIrOs structure.

Computed properties:
DFT formation energy = -1.16 eV/f.u.
SG = No. 216

Geometry as POSCAR:
```
TmNpIrOs
1.0
-2.204 -1.787 -3.857
2.575 -1.504 -3.747
0.300 -4.678 -0.976
Tm Ir Os Np
1 1 1 1
direct
0.250 0.250 0.250 Tm
0.000 0.000 0.000 Ir
0.500 0.500 0.500 Os
0.750 0.750 0.750 Np
```

=====

A plane-wave DFT calculation with GGA-PBE was carried out for a geometry-optimized HfTiPb2 structure.

Computed properties:
DFT formation energy = 0.54 eV/f.u.
SG = No. 123
polymorph energy (0 for the lowest one) = 0 meV per atom

Geometry as POSCAR:
```
HfTiPb2
1.0
-2.130 2.152 1.219
-2.100 -0.724 -2.392
-3.380 -6.066 4.803
Pb Ti Hf
2 1 1
direct
0.000 0.000 0.761 Pb
0.000 0.000 0.239 Pb
0.500 0.500 0.000 Ti
0.500 0.500 0.500 Hf
```

=====

A plane-wave DFT calculation with GGA-PBE was carried out for a geometry-optimized CrMo2 structure.

Computed properties:
DFT formation energy = 1.11 eV/f.u.
SG = No. 194
polymorph energy (0 for the lowest one) = 319 meV per atom

Geometry as POSCAR:
```
CrMo2
1.0
2.268 -3.929 0.000
2.268 3.929 0.000
0.000 0.000 5.000
Mo Cr
4 2
direct
0.667 0.333 0.250 Mo
0.000 0.000 0.500 Mo
0.000 0.000 0.000 Mo
0.333 0.667 0.750 Mo
0.333 0.667 0.250 Cr
0.667 0.333 0.750 Cr
```